(1)
The following is a GGA-PBE calculation of an optimized crystal structure of TcAuS3, from Alexandria.

a = 4.8113 Å, b = 4.8113 Å, c = 4.8113 Å
α = 90.00°, β = 90.00°, γ = 90.00°
With the nearest neighbours (Å) after each atom.
Space group Pm-3m (No. 221)
One atom of each set of equivalent atoms:
1 Tc 0.0000 0.0000 0.0000  12 S 3.40
2 Au 0.5000 0.5000 0.5000  6 S 2.41
3 S 0.0000 0.5000 0.5000  2 Au 2.41

calculated volume: 22.27 A^3/atom
total magnetic moment: 4.3 μB/f.u.
raw total energy: -4.01 eV per atom
D(E_F): 1.110 states/eV/atom
theoretical density: 5.8 g/cm³

---

(2)
The following is a GGA-PBE calculation of an optimized crystal structure of Tc3AuS, from Alexandria.

a = 4.3476 Å, b = 4.3476 Å, c = 4.3476 Å
α = 90.00°, β = 90.00°, γ = 90.00°
With the nearest neighbours (Å) after each atom.
Space group Pm-3m (No. 221)
One atom of each set of equivalent atoms:
1 Tc 0.0000 0.0000 0.5000  2 S 2.17
2 Au 0.5000 0.5000 0.5000  12 Tc 3.07
3 S 0.0000 0.0000 0.0000  6 Tc 2.17

calculated volume: 16.44 A^3/atom
total magnetic moment: 0.0 μB/f.u.
raw total energy: -7.20 eV per atom
D(E_F): 0.748 states/eV/atom
theoretical density: 10.6 g/cm³

---

(3)
The following is a GGA-PBE calculation of an optimized crystal structure of TcAu3S, from Alexandria.

a = 4.9910 Å, b = 4.9910 Å, c = 4.9910 Å
α = 90.00°, β = 90.00°, γ = 90.00°
With the nearest neighbours (Å) after each atom.
Space group Pm-3m (No. 221)
One atom of each set of equivalent atoms:
1 Tc 0.0000 0.0000 0.0000  6 Au 2.50
2 Au 0.0000 0.0000 0.5000  2 Tc 2.50
3 S 0.5000 0.5000 0.5000  12 Au 3.53

calculated volume: 24.86 A^3/atom
total magnetic moment: 0.0 μB/f.u.
raw total energy: -3.33 eV per atom
D(E_F): 1.178 states/eV/atom
theoretical density: 9.6 g/cm³

---

(4)
The following is a GGA-PBE calculation of an optimized crystal structure of YTcAu2S, from Alexandria.

a = 5.4364 Å, b = 5.4364 Å, c = 5.0317 Å
α = 90.00°, β = 90.00°, γ = 90.00°
With the nearest neighbours (Å) after each atom.
Space group P4/mmm (No. 123)
One atom of each set of equivalent atoms:
1 Y 0.0000 0.0000 0.0000  2 S 2.52, 4 Au 2.72
2 Tc 0.5000 0.5000 0.5000  8 Au 3.70, 4 S 3.84
3 Au 0.0000 0.5000 0.0000  2 Y 2.72
4 S 0.0000 0.0000 0.5000  2 Y 2.52

calculated volume: 29.74 A^3/atom
total magnetic moment: 4.6 μB/f.u.
raw total energy: -4.73 eV per atom
D(E_F): 0.592 states/eV/atom
theoretical density: 6.8 g/cm³

---

(5)
The following is a GGA-PBE calculation of an optimized crystal structure of Te2AuS3, from Alexandria.

a = 15.8640 Å, b = 3.7864 Å, c = 12.3604 Å
α = 90.00°, β = 117.87°, γ = 90.00°
With the nearest neighbours (Å) after each atom.
Space group C2/m (No. 12)
One atom of each set of equivalent atoms:
1 Te 0.0857 0.0000 0.3816  4 S 2.55-2.82
2 Te 0.1531 0.5000 0.8627  1 S 2.38
3 Au 0.1285 0.0000 0.6874  2 S 2.50, 2 Te 2.76
4 S 0.0646 0.5000 0.2326  2 Te 2.55
5 S 0.1522 0.5000 0.5723  2 Au 2.50
6 S 0.1783 0.0000 0.0569  1 Te 2.38

calculated volume: 27.35 A^3/atom
total magnetic moment: 0.0 μB/f.u.
raw total energy: -3.55 eV per atom
D(E_F): 0.294 states/eV/atom
theoretical density: 5.5 g/cm³

---

(6)
The following is a GGA-PBE calculation of an optimized crystal structure of Te2AuS, from Alexandria.

a = 4.2597 Å, b = 4.2597 Å, c = 23.6734 Å
α = 90.00°, β = 90.00°, γ = 120.00°
With the nearest neighbours (Å) after each atom.
Space group R-3m (No. 166, hexagonal axes)
One atom of each set of equivalent atoms:
1 Te 0.0000 0.0000 0.1054  1 S 2.50
2 Au 0.0000 0.0000 0.5000  6 Te 2.85
3 S 0.0000 0.0000 0.0000  2 Te 2.50

calculated volume: 31.00 A^3/atom
total magnetic moment: 0.0 μB/f.u.
raw total energy: -3.27 eV per atom
D(E_F): 0.502 states/eV/atom
theoretical density: 6.5 g/cm³

---

(7)
The following is a GGA-PBE calculation of an optimized crystal structure of Te2AuS2, from Alexandria.

a = 8.3456 Å, b = 8.3456 Å, c = 3.4135 Å
α = 90.00°, β = 90.00°, γ = 90.00°
With the nearest neighbours (Å) after each atom.
Space group P4/mbm (No. 127)
One atom of each set of equivalent atoms:
1 Te 0.2246 0.2754 0.0000  2 S 2.56
2 Au 0.0000 0.0000 0.0000  4 Te 2.97
3 S 0.1142 0.6142 0.5000  2 Te 2.56, 1 S 2.70

calculated volume: 23.77 A^3/atom
total magnetic moment: 0.0 μB/f.u.
raw total energy: -3.27 eV per atom
D(E_F): 0.446 states/eV/atom
theoretical density: 7.2 g/cm³

---

(8)
The following is a GGA-PBE calculation of an optimized crystal structure of TeAuS, from Alexandria.

a = 3.9772 Å, b = 3.9772 Å, c = 4.8618 Å
α = 90.00°, β = 90.00°, γ = 120.00°
With the nearest neighbours (Å) after each atom.
Space group P3m1 (No. 156)
One atom of each set of equivalent atoms:
1 Te 0.0000 0.0000 0.0000  3 Au 2.79, 3 S 3.02
2 Au 0.6667 0.3333 0.3245  3 S 2.65, 3 Te 2.79
3 S 0.3333 0.6667 0.5979  3 Au 2.65

calculated volume: 22.20 A^3/atom
total magnetic moment: 0.0 μB/f.u.
raw total energy: -3.43 eV per atom
D(E_F): 0.474 states/eV/atom
theoretical density: 8.9 g/cm³

---

(9)
The following is a GGA-PBE calculation of an optimized crystal structure of TeAuS, from Alexandria.

a = 4.4316 Å, b = 5.9513 Å, c = 6.4679 Å
α = 92.63°, β = 103.14°, γ = 108.70°
With the nearest neighbours (Å) after each atom.
Space group P-1 (No. 2)
One atom of each set of equivalent atoms:
1 Te 0.1224 0.2436 0.2576  1 S 2.43, 1 Au 2.63
2 Au 0.4533 0.2449 0.9674  1 S 2.40, 1 Te 2.63
3 S 0.2857 0.6759 0.3214  1 Au 2.40, 1 Te 2.43

calculated volume: 26.01 A^3/atom
total magnetic moment: 0.0 μB/f.u.
raw total energy: -3.46 eV per atom
D(E_F): 0.274 states/eV/atom
theoretical density: 7.6 g/cm³

---

(10)
The following is a GGA-PBE calculation of an optimized crystal structure of Te3AuS, from Alexandria.

a = 5.2221 Å, b = 5.2221 Å, c = 5.2221 Å
α = 90.00°, β = 90.00°, γ = 90.00°
With the nearest neighbours (Å) after each atom.
Space group Pm-3m (No. 221)
One atom of each set of equivalent atoms:
1 Te 0.0000 0.0000 0.5000  2 S 2.61
2 Au 0.5000 0.5000 0.5000  12 Te 3.69
3 S 0.0000 0.0000 0.0000  6 Te 2.61

calculated volume: 28.48 A^3/atom
total magnetic moment: 0.0 μB/f.u.
raw total energy: -2.66 eV per atom
D(E_F): 0.767 states/eV/atom
theoretical density: 7.1 g/cm³

---

(11)
The following is a GGA-PBE calculation of an optimized crystal structure of Te2AuS2, from Alexandria.

a = 4.5250 Å, b = 4.5250 Å, c = 12.1231 Å
α = 90.00°, β = 90.00°, γ = 90.00°
With the nearest neighbours (Å) after each atom.
Space group I4/mmm (No. 139)
One atom of each set of equivalent atoms:
1 Te 0.0000 0.0000 0.1236  4 S 2.73, 1 Te 3.00
2 Au 0.0000 0.0000 0.5000  8 Te 3.53, 8 S 3.78
3 S 0.0000 0.5000 0.2500  4 Te 2.73

calculated volume: 24.82 A^3/atom
total magnetic moment: 0.0 μB/f.u.
raw total energy: -2.88 eV per atom
D(E_F): 0.799 states/eV/atom
theoretical density: 6.9 g/cm³

---

Calculated values (eV per atom) of energy relative to the elements, uncorrected for the records, taken in order: 1.199 0.504 1.534 0.768 0.104 0.156 0.294 0.081 0.057 0.709 0.680.